A geometry-optimized Sm3MgCd structure, computed with PBE.

## Properties
E above lowest polymorph: 0 meV per atom
ρ: 6647 kg/m3

a b c (Å): 5.343 20.597 5.337
angles (deg): 90.00 90.00 90.00
Space group Cmcm (No. 63)
Unique sites:
Sm 0.000 0.059 0.250 x4
Sm 0.000 0.250 0.250 x4
Sm 0.000 0.439 0.250 x4
Mg 0.000 0.154 0.750 x4
Cd 0.000 0.344 0.750 x4

A geometry-optimized SmMg8Cd4 structure, computed with PBE.

## Properties
ρ: 4435 kg/m3
uncorrected energy: -45.85 eV/cell

a b c (Å): 10.018 10.018 5.928
angles (deg): 90.00 90.00 90.00
Space group I4/mmm (No. 139)
Unique sites:
Sm 0.000 0.000 0.000 x2
Mg 0.000 0.213 0.500 x8
Mg 0.000 0.350 0.000 x8
Cd 0.250 0.250 0.250 x8

A geometry-optimized Sm2Mg12Cd5 structure, computed with PBE.

## Properties
ρ: 4316 kg/m3
uncorrected energy: -106.52 eV/cell

a b c (Å): 10.1252 10.1252 15.0091
angles (deg): 90.00 90.00 120.00
Space group R-3m (No. 166, hexagonal axes)
Unique sites:
Sm 0.0000 0.0000 0.1713 x6
Mg 0.0000 0.3031 0.5000 x18
Mg 0.0062 0.5031 0.6523 x18
Cd 0.0000 0.0000 0.4022 x6
Cd 0.0000 0.5000 0.0000 x9

A geometry-optimized Sm7Mg2Cd2 structure, computed with PBE.

## Properties
ρ: 6182 kg/m3
uncorrected energy: -72.36 eV/cell

a b c (Å): 7.095 11.444 8.773
angles (deg): 90.00 90.00 90.00
Space group Cmmm (No. 65)
Unique sites:
Sm 0.000 0.000 0.000 x2
Sm 0.000 0.500 0.234 x4
Sm 0.250 0.250 0.301 x8
Mg 0.000 0.284 0.000 x4
Cd 0.195 0.000 0.500 x4

A geometry-optimized Sm2Mg2Cd structure, computed with PBE.

## Properties
E above lowest polymorph: 0 meV per atom
ρ: 5724 kg/m3

a b c (Å): 11.367 5.251 9.401
angles (deg): 90.00 107.28 90.00
Space group C2/m (No. 12)
Unique sites:
Sm 0.035 0.000 0.346 x4
Sm 0.165 0.000 0.063 x4
Mg 0.022 0.500 0.857 x4
Mg 0.142 0.500 0.577 x4
Cd 0.239 0.500 0.296 x4

A geometry-optimized Sm2Mg5Cd structure, computed with PBE.

## Properties
ρ: 4196 kg/m3
uncorrected energy: -75.00 eV/cell

a b c (Å): 3.906 20.197 10.728
angles (deg): 90.00 90.00 90.00
Space group Cmcm (No. 63)
Unique sites:
Sm 0.000 0.000 0.000 x4
Sm 0.000 0.173 0.250 x4
Mg 0.000 0.216 0.604 x8
Mg 0.000 0.371 0.525 x8
Mg 0.000 0.395 0.250 x4
Cd 0.000 0.462 0.750 x4

A geometry-optimized SmMgCd4 structure, computed with PBE.

## Properties
ρ: 7220 kg/m3
uncorrected energy: -22.90 eV/cell

a b c (Å): 8.551 4.938 6.801
angles (deg): 90.00 90.07 90.00
Space group C2 (No. 5)
Unique sites:
Sm 0.000 0.000 0.000 x2
Mg 0.000 0.001 0.500 x2
Cd 0.166 0.500 0.744 x4
Cd 0.167 0.500 0.256 x4

A geometry-optimized Sm3MgCd12 structure, computed with PBE.

## Properties
ρ: 7795 kg/m3
uncorrected energy: -30.32 eV/cell

a b c (Å): 4.658 4.658 17.912
angles (deg): 90.00 90.00 90.00
Space group P4/mmm (No. 123)
Unique sites:
Sm 0.000 0.000 0.000 x1
Sm 0.000 0.000 0.263 x2
Mg 0.000 0.000 0.500 x1
Cd 0.000 0.500 0.130 x4
Cd 0.000 0.500 0.387 x4
Cd 0.500 0.500 0.000 x1
Cd 0.500 0.500 0.264 x2
Cd 0.500 0.500 0.500 x1

A geometry-optimized SmMg6Cd12 structure, computed with PBE.

## Properties
ρ: 5831 kg/m3
uncorrected energy: -74.85 eV/cell

a b c (Å): 12.8199 12.8199 9.8749
angles (deg): 90.00 90.00 120.00
Space group R-3m (No. 166, hexagonal axes)
Unique sites:
Sm 0.0000 0.0000 0.0000 x3
Mg 0.0659 0.5330 0.2304 x18
Cd 0.0000 0.3888 0.5000 x18
Cd 0.0818 0.1635 0.2786 x18

A geometry-optimized Sm2Mg3Cd3 structure, computed with PBE.

## Properties
ρ: 6074 kg/m3
uncorrected energy: -57.64 eV/cell

a b c (Å): 5.1564 5.1564 25.3181
angles (deg): 90.00 90.00 120.00
Space group R3m (No. 160, hexagonal axes)
Unique sites:
Sm 0.0000 0.0000 0.0000 x3
Sm 0.0000 0.0000 0.4957 x3
Mg 0.0000 0.0000 0.2486 x3
Mg 0.0000 0.0000 0.7475 x3
Mg 0.0000 0.0000 0.8737 x3
Cd 0.0000 0.0000 0.1259 x3
Cd 0.0000 0.0000 0.3721 x3
Cd 0.0000 0.0000 0.6200 x3

A geometry-optimized Sm2Mg3Cd5 structure, computed with PBE.

## Properties
ρ: 6234 kg/m3
uncorrected energy: -81.37 eV/cell

a b c (Å): 12.558 12.595 6.303
angles (deg): 90.00 90.00 90.00
Space group Ibam (No. 72)
Unique sites:
Sm 0.124 0.244 0.000 x8
Mg 0.000 0.500 0.250 x4
Mg 0.127 0.136 0.500 x8
Cd 0.000 0.000 0.250 x4
Cd 0.122 0.349 0.500 x8
Cd 0.244 0.500 0.250 x8

A geometry-optimized SmMg5Cd6 structure, computed with PBE.

## Properties
ρ: 5764 kg/m3
uncorrected energy: -40.12 eV/cell

a b c (Å): 4.814 14.467 7.830
angles (deg): 90.00 90.00 90.00
Space group Cmmm (No. 65)
Unique sites:
Sm 0.000 0.000 0.000 x2
Mg 0.000 0.000 0.500 x2
Mg 0.000 0.331 0.000 x4
Mg 0.000 0.332 0.500 x4
Cd 0.000 0.170 0.258 x8
Cd 0.000 0.500 0.269 x4

A geometry-optimized SmMg4Cd2 structure, computed with PBE.

## Properties
E above lowest polymorph: 50 meV per atom
ρ: 4755 kg/m3

a b c (Å): 9.508 7.506 5.797
angles (deg): 90.00 127.10 90.00
Space group C2/m (No. 12)
Unique sites:
Sm 0.000 0.000 0.000 x2
Mg 0.194 0.196 0.695 x8
Cd 0.002 0.500 0.752 x4

A geometry-optimized Sm3MgCd structure, computed with PBE.

## Properties
E above lowest polymorph: 204 meV per atom
ρ: 6291 kg/m3

a b c (Å): 13.165 10.034 9.397
angles (deg): 90.00 90.05 90.00
Space group C2/c (No. 15)
Unique sites:
Sm 0.127 0.000 0.001 x8
Sm 0.133 0.339 0.438 x8
Sm 0.134 0.340 0.062 x8
Mg 0.219 0.375 0.750 x8
Cd 0.000 0.170 0.750 x4
Cd 0.000 0.456 0.750 x4

A geometry-optimized SmMgCd3 structure, computed with PBE.

## Properties
ρ: 6787 kg/m3
uncorrected energy: -19.35 eV/cell

a b c (Å): 6.9610 6.9610 5.9684
angles (deg): 90.00 90.00 120.00
Space group P6_3/mmc (No. 194)
Unique sites:
Sm 0.3333 0.6667 0.2500 x2
Mg 0.0000 0.0000 0.0000 x2
Cd 0.1960 0.3920 0.7500 x6

A geometry-optimized SmMg2Cd4 structure, computed with PBE.

## Properties
ρ: 6456 kg/m3
uncorrected energy: -25.64 eV/cell

a b c (Å): 3.404 4.928 19.893
angles (deg): 90.00 90.00 90.00
Space group Immm (No. 71)
Unique sites:
Sm 0.000 0.000 0.000 x2
Mg 0.000 0.500 0.203 x4
Cd 0.000 0.000 0.426 x4
Cd 0.000 0.500 0.350 x4

A geometry-optimized SmMg5Cd2 structure, computed with PBE.

## Properties
ρ: 4339 kg/m3
uncorrected energy: -31.22 eV/cell

a b c (Å): 3.380 9.590 11.730
angles (deg): 90.00 90.00 90.00
Space group Immm (No. 71)
Unique sites:
Sm 0.000 0.000 0.000 x2
Mg 0.000 0.225 0.366 x8
Mg 0.000 0.500 0.000 x2
Cd 0.000 0.500 0.254 x4

A geometry-optimized Sm4MgCd3 structure, computed with PBE.

## Properties
E above lowest polymorph: 52 meV per atom
ρ: 7143 kg/m3

a b c (Å): 3.547 5.005 12.610
angles (deg): 90.00 90.00 90.00
Space group Pmm2 (No. 25)
Unique sites:
Sm 0.000 0.000 0.000 x1
Sm 0.000 0.500 0.324 x1
Sm 0.500 0.000 0.496 x1
Sm 0.500 0.500 0.829 x1
Mg 0.000 0.000 0.727 x1
Cd 0.000 0.500 0.595 x1
Cd 0.500 0.000 0.231 x1
Cd 0.500 0.500 0.094 x1

A geometry-optimized Sm3MgCd4 structure, computed with PBE.

## Properties
ρ: 7301 kg/m3
uncorrected energy: -65.45 eV/cell

a b c (Å): 5.2605 5.2605 26.3361
angles (deg): 90.00 90.00 120.00
Space group R-3m (No. 166, hexagonal axes)
Unique sites:
Sm 0.0000 0.0000 0.0000 x3
Sm 0.0000 0.0000 0.2454 x6
Mg 0.0000 0.0000 0.5000 x3
Cd 0.0000 0.0000 0.1255 x6
Cd 0.0000 0.0000 0.3757 x6

A geometry-optimized Sm2MgCd structure, computed with PBE.

## Properties
ρ: 6481 kg/m3
uncorrected energy: -51.11 eV/cell

a b c (Å): 7.654 7.654 7.654
angles (deg): 90.00 90.00 90.00
Space group Fm-3m (No. 225)
Unique sites:
Sm 0.250 0.250 0.250 x8
Mg 0.000 0.000 0.000 x4
Cd 0.000 0.000 0.500 x4

A geometry-optimized Sm4MgCd structure, computed with PBE.

## Properties
E above lowest polymorph: 0 meV per atom
ρ: 6771 kg/m3

a b c (Å): 3.708 3.708 13.166
angles (deg): 90.00 90.00 90.00
Space group P4/mmm (No. 123)
Unique sites:
Sm 0.000 0.000 0.155 x2
Sm 0.500 0.500 0.341 x2
Mg 0.000 0.000 0.500 x1
Cd 0.500 0.500 0.000 x1

Total magnetic moment values, unit Bohr magnetons per cell, following the record order: 1.38; 0.00; 0.00; 0.00; 0.00; 0.00; 0.00; 0.00; 0.00; 0.00; 0.00; 0.00; 0.00; 0.00; 0.00; 0.00; 0.00; 0.00; 0.00; 0.00; 0.00.